This record from Alexandria via LeMat-Bulk describes a relaxed structure of PmNdPu. The functional is PBE.

a = 3.5726 Å, b = 3.5726 Å, c = 8.0151 Å
α = 102.88°, β = 102.88°, γ = 90.00°
Sites, in units of the cell vectors:
Nd 0.6632 0.6632 0.3265
Pm 0.3373 0.3373 0.6745
Pu 0.9995 0.9995 0.9990

Results
Size of the total moment: 6.2 Bohr magnetons per cell
Formation energy from the elements: 0.131 eV per atom
Relative energy among the computed polymorphs: 0 meV per atom